The following is a PBE-GGA calculation of crystalline LiMg2Rh at its relaxed geometry, from Alexandria.

Structure (POSCAR):
```
LiMg2Rh
1.0
9.2353 -0.0341 -0.0201
8.7481 2.9604 -0.0201
8.7481 1.4235 2.5958
Li Mg Rh
1 2 1
direct
0.7500 0.7500 0.7500 Li
0.5096 0.5096 0.5096 Mg
0.9904 0.9904 0.9904 Mg
0.2500 0.2500 0.2500 Rh
```

Calculated values
space-group type: No. 166



The following is a PBE-GGA calculation of crystalline Li3Mg2Rh at its relaxed geometry, from Alexandria.

Structure (POSCAR):
```
Li3Mg2Rh
1.0
3.1658 0.0000 0.0000
-1.5829 6.9709 -1.3024
0.0000 -4.3702 10.5367
Mg Li Rh
4 6 2
direct
0.4662 0.9323 0.0964 Mg
0.5338 0.0677 0.9036 Mg
0.7871 0.5742 0.1378 Mg
0.2129 0.4258 0.8622 Mg
0.3839 0.7677 0.3863 Li
0.0487 0.0974 0.3545 Li
0.6161 0.2323 0.6137 Li
0.2901 0.5802 0.6474 Li
0.7099 0.4198 0.3526 Li
0.9513 0.9026 0.6455 Li
0.8636 0.7272 0.8639 Rh
0.1364 0.2728 0.1361 Rh
```

Calculated values
space-group type: No. 12



The following is a PBE-GGA calculation of crystalline LiMg3Rh3 at its relaxed geometry, from Alexandria.

Structure (POSCAR):
```
LiMg3Rh3
1.0
-6.0617 0.7553 -0.8409
-1.1151 -1.9441 5.7445
0.4314 5.7064 2.0150
Li Mg Rh
2 6 6
direct
0.7478 0.7478 0.0004 Li
0.2522 0.2522 0.9996 Li
0.7542 0.7542 0.4995 Mg
0.2677 0.7323 0.0000 Mg
0.2458 0.2458 0.5005 Mg
0.2458 0.7542 0.5000 Mg
0.7542 0.2458 0.5000 Mg
0.7323 0.2677 0.0000 Mg
0.0002 0.4997 0.2449 Rh
0.9996 0.9996 0.7744 Rh
0.0004 0.0004 0.2256 Rh
0.4997 0.0002 0.2449 Rh
0.5003 0.9998 0.7551 Rh
0.9998 0.5003 0.7551 Rh
```

Calculated values
space-group type: No. 12



no.,formation energy from the elements (eV/atom)
1,-0.166
2,-0.183
3,-0.304